[1]
# Ca3Mg3Zn GGA-PBE relaxed
# Crystal system   monoclinic
# Size of the total moment   0.00 Bohr magnetons per cell
# N(E_F)   0.70 states/eV per atom
# Polymorph energy (0 for the lowest one)   10.4 meV per atom
# Calculated formation energy   -5.6 kJ per mole of atoms
data_Ca3Mg3Zn
_chemical_formula_sum 'Ca6 Mg6 Zn2'
_cell_length_a 9.650
_cell_length_b 4.984
_cell_length_c 9.653
_cell_angle_alpha 90.00
_cell_angle_beta 119.97
_cell_angle_gamma 90.00
_symmetry_space_group_name_H-M 'P 1 21/m 1'
_symmetry_Int_Tables_number 11
_symmetry_space_group_name_Hall '-P 2yb'
loop_
_atom_site_label
_atom_site_type_symbol
_atom_site_fract_x
_atom_site_fract_y
_atom_site_fract_z
_atom_site_occupancy
Ca1 Ca 0.155 0.250 0.310 1
Ca2 Ca 0.156 0.250 0.844 1
Ca3 Ca 0.311 0.750 0.155 1
Mg1 Mg 0.119 0.750 0.559 1
Mg2 Mg 0.440 0.750 0.880 1
Mg3 Mg 0.441 0.750 0.559 1
Zn1 Zn 0.333 0.250 0.665 1

***

[2]
# CaMg2Zn GGA-PBE relaxed
# Crystal system   tetragonal
# Size of the total moment   0.00 Bohr magnetons per cell
# N(E_F)   0.63 states/eV per atom
# Calculated formation energy   -1.2 kJ per mole of atoms
data_CaMg2Zn
_chemical_formula_sum 'Ca2 Mg4 Zn2'
_cell_length_a 4.519
_cell_length_b 4.519
_cell_length_c 9.759
_cell_angle_alpha 90.00
_cell_angle_beta 90.00
_cell_angle_gamma 90.00
_symmetry_space_group_name_H-M 'I 4/m m m'
_symmetry_Int_Tables_number 139
_symmetry_space_group_name_Hall '-I 4 2'
loop_
_atom_site_label
_atom_site_type_symbol
_atom_site_fract_x
_atom_site_fract_y
_atom_site_fract_z
_atom_site_occupancy
Ca1 Ca 0.000 0.000 0.000 1
Mg1 Mg 0.000 0.500 0.250 1
Zn1 Zn 0.000 0.000 0.500 1

***

[3]
# CaMgZn GGA-PBE relaxed
# Crystal system   orthorhombic
# Size of the total moment   0.00 Bohr magnetons per cell
# N(E_F)   0.65 states/eV per atom
# Calculated formation energy   7.2 kJ per mole of atoms
data_CaMgZn
_chemical_formula_sum 'Ca4 Mg4 Zn4'
_cell_length_a 3.489
_cell_length_b 12.047
_cell_length_c 7.950
_cell_angle_alpha 90.00
_cell_angle_beta 90.00
_cell_angle_gamma 90.00
_symmetry_space_group_name_H-M 'P m m n'
_symmetry_Int_Tables_number 59
loop_
_symmetry_equiv_pos_as_xyz
'x,y,z'
'-x,-y,-z'
'-x+1/2,-y+1/2,z'
'x+1/2,y+1/2,-z'
'x+1/2,-y,-z'
'-x+1/2,y,z'
'-x,y+1/2,-z'
'x,-y+1/2,z'
loop_
_atom_site_label
_atom_site_type_symbol
_atom_site_fract_x
_atom_site_fract_y
_atom_site_fract_z
_atom_site_occupancy
Ca1 Ca 0.250 0.098 0.163 1
Mg1 Mg 0.250 0.109 0.587 1
Zn1 Zn 0.250 0.649 0.141 1

***

[4]
# CaMgZn GGA-PBE relaxed
# Crystal system   tetragonal
# Size of the total moment   0.00 Bohr magnetons per cell
# N(E_F)   0.63 states/eV per atom
# Calculated formation energy   -10.2 kJ per mole of atoms
data_CaMgZn
_chemical_formula_sum 'Ca2 Mg2 Zn2'
_cell_length_a 4.659
_cell_length_b 4.659
_cell_length_c 7.297
_cell_angle_alpha 90.00
_cell_angle_beta 90.00
_cell_angle_gamma 90.00
_symmetry_space_group_name_H-M 'P 4/n m m'
_symmetry_Int_Tables_number 129
loop_
_symmetry_equiv_pos_as_xyz
'x,y,z'
'-x,-y,-z'
'-y+1/2,x,z'
'y+1/2,-x,-z'
'-x+1/2,-y+1/2,z'
'x+1/2,y+1/2,-z'
'y,-x+1/2,z'
'-y,x+1/2,-z'
'x+1/2,-y,-z'
'-x+1/2,y,z'
'-y,-x,-z'
'y,x,z'
'-x,y+1/2,-z'
'x,-y+1/2,z'
'y+1/2,x+1/2,-z'
'-y+1/2,-x+1/2,z'
loop_
_atom_site_label
_atom_site_type_symbol
_atom_site_fract_x
_atom_site_fract_y
_atom_site_fract_z
_atom_site_occupancy
Ca1 Ca 0.250 0.250 0.184 1
Mg1 Mg 0.250 0.250 0.704 1
Zn1 Zn 0.250 0.750 0.500 1